Compound: PaTl2VO6
Source: Alexandria
Functional: GGA+U
Structure: optimized geometry

The structure in CIF format:
```
data_PaTl2VO6
_cell_length_a 8.2931
_cell_length_b 8.2931
_cell_length_c 8.2931
_cell_angle_alpha 90.00
_cell_angle_beta 90.00
_cell_angle_gamma 90.00
_symmetry_space_group_name_H-M 'F m -3 m'
_symmetry_Int_Tables_number 225
_symmetry_space_group_name_Hall '-F 4 2 3'
loop_
_atom_site_label
_atom_site_type_symbol
_atom_site_fract_x
_atom_site_fract_y
_atom_site_fract_z
Pa1 Pa 0.0000 0.0000 0.0000
Tl1 Tl 0.2500 0.2500 0.2500
V1 V 0.0000 0.0000 0.5000
O1 O 0.0000 0.0000 0.2669
```

Properties
DFT total energy   -7.20 eV/atom